Record 1
Density functional theory data (PBE) for an optimized crystal structure of NaCu12As6.

```
data_NaCu12As6
_chemical_formula_sum 'Na1 Cu12 As6'
_cell_length_a 7.3073
_cell_length_b 7.3073
_cell_length_c 7.3073
_cell_angle_alpha 107.42
_cell_angle_beta 107.42
_cell_angle_gamma 107.42
_space_group_name_H-M_alt 'P 1'
_space_group_IT_number 1
loop_
_space_group_symop_operation_xyz
'x,y,z'
loop_
_atom_site_label
_atom_site_type_symbol
_atom_site_fract_x
_atom_site_fract_y
_atom_site_fract_z
_atom_site_occupancy
Cu1 Cu 0.5000 0.8282 0.1718 1
Cu2 Cu 0.4291 0.4291 0.2042 1
Cu3 Cu 0.5709 0.5709 0.7958 1
Cu4 Cu 0.5000 0.1718 0.8282 1
Cu5 Cu 0.5709 0.7958 0.5709 1
Cu6 Cu 0.7958 0.5709 0.5709 1
Cu7 Cu 0.8282 0.5000 0.1718 1
Cu8 Cu 0.1718 0.8282 0.5000 1
Cu9 Cu 0.8282 0.1718 0.5000 1
Cu10 Cu 0.4291 0.2042 0.4291 1
Cu11 Cu 0.1718 0.5000 0.8282 1
Cu12 Cu 0.2042 0.4291 0.4291 1
As1 As 0.1956 0.1956 0.6024 1
As2 As 0.8044 0.8044 0.3976 1
As3 As 0.6024 0.1956 0.1956 1
As4 As 0.3976 0.8044 0.8044 1
As5 As 0.1956 0.6024 0.1956 1
As6 As 0.8044 0.3976 0.8044 1
Na1 Na 0.0000 0.0000 0.0000 1
```

Results
Calculated density ... 6.39 g/cm3


Record 2
Density functional theory data (PBE) for an optimized crystal structure of Hf2Sb2Ru.

```
data_Hf2Sb2Ru
_chemical_formula_sum 'Hf4 Sb4 Ru2'
_cell_length_a 6.7510
_cell_length_b 6.7510
_cell_length_c 4.5496
_cell_angle_alpha 90.00
_cell_angle_beta 90.00
_cell_angle_gamma 90.00
_space_group_name_H-M_alt 'P 1'
_space_group_IT_number 1
loop_
_space_group_symop_operation_xyz
'x,y,z'
loop_
_atom_site_label
_atom_site_type_symbol
_atom_site_fract_x
_atom_site_fract_y
_atom_site_fract_z
_atom_site_occupancy
Hf1 Hf 0.3415 0.1585 0.5000 1
Hf2 Hf 0.6585 0.8415 0.5000 1
Hf3 Hf 0.8415 0.3415 0.5000 1
Hf4 Hf 0.1585 0.6585 0.5000 1
Sb1 Sb 0.3511 0.8511 0.0000 1
Sb2 Sb 0.6489 0.1489 0.0000 1
Sb3 Sb 0.1489 0.3511 0.0000 1
Sb4 Sb 0.8511 0.6489 0.0000 1
Ru1 Ru 0.5000 0.5000 0.0000 1
Ru2 Ru 0.0000 0.0000 0.0000 1
```

Results
Formation energy (no corrections) ... -0.183 eV per atom
Calculated density ... 11.24 g/cm3


Record 3
Density functional theory data (PBE) for an optimized crystal structure of Sm2SbAs3Pd4.

```
data_Sm2SbAs3Pd4
_chemical_formula_sum 'Sm2 Sb1 As3 Pd4'
_cell_length_a 4.2565
_cell_length_b 4.2565
_cell_length_c 11.1243
_cell_angle_alpha 90.00
_cell_angle_beta 90.00
_cell_angle_gamma 90.00
_space_group_name_H-M_alt 'P 1'
_space_group_IT_number 1
loop_
_space_group_symop_operation_xyz
'x,y,z'
loop_
_atom_site_label
_atom_site_type_symbol
_atom_site_fract_x
_atom_site_fract_y
_atom_site_fract_z
_atom_site_occupancy
As1 As 0.0000 0.5000 0.1321 1
As2 As 0.5000 0.0000 0.8679 1
As3 As 0.0000 0.0000 0.5000 1
Sb1 Sb 0.5000 0.5000 0.5000 1
Pd1 Pd 0.0000 0.5000 0.3525 1
Pd2 Pd 0.5000 0.0000 0.6475 1
Pd3 Pd 0.5000 0.5000 0.0000 1
Pd4 Pd 0.0000 0.0000 0.0000 1
Sm1 Sm 0.5000 0.0000 0.2219 1
Sm2 Sm 0.0000 0.5000 0.7781 1
```

Results
Formation energy (no corrections) ... -0.817 eV per atom
Calculated density ... 8.84 g/cm3


VASP energy values (in eV/atom) by entry order: -4.070, -7.668, -5.645.
Size of the total moment values (in Bohr magnetons per cell) by entry order: 0.00, 0.00, 0.00.